# 1
This record from Alexandria describes crystalline TaTe3H at its relaxed geometry. The functional is PBE-GGA.

space group	Pm-3m, No. 221
crystal system	cubic
excess energy over the best structure of this formula in the dataset	5.58	eV per formula unit
theoretical density	9.3	g/cm3
calculated total energy	-3.96	eV/atom
magnetization	0.0	μB per formula unit

abc: 4.6545 4.6545 4.6545
angles: 90.00 90.00 90.00
Element x y z (fractional)
Ta (0.5000, 0.5000, 0.5000)
Te (0.0000, 0.5000, 0.0000)
H (0.0000, 0.0000, 0.0000)
Te (0.0000, 0.0000, 0.5000)
Te (0.5000, 0.0000, 0.0000)



# 2
This record from Alexandria describes crystalline HfTeBr3 at its relaxed geometry. The functional is PBE-GGA.

space group	Pm-3m, No. 221
crystal system	cubic
formation energy (no corrections)	0.747	eV/atom
theoretical density	4.8	g/cm3
calculated total energy	-2.88	eV/atom
magnetization	1.9	μB per formula unit

abc: 5.7203 5.7203 5.7203
angles: 90.00 90.00 90.00
Each line ends with the local moment (μB).
Element x y z (fractional)
Br (0.5000, 0.0000, 0.0000)  0.01
Br (0.0000, 0.5000, 0.0000)  0.03
Hf (0.5000, 0.5000, 0.5000)  1.21
Te (0.0000, 0.0000, 0.0000)  0.00
Br (0.0000, 0.0000, 0.5000)  0.03



# 3
This record from Alexandria describes crystalline Cd2InSn at its relaxed geometry. The functional is PBE-GGA.

space group	P4mm, No. 99
crystal system	tetragonal
excess energy over the best structure of this formula in the dataset	0.00	eV per formula unit
theoretical density	7.5	g/cm3
formation energy	0.04	eV/atom
calculated total energy	-2.10	eV/atom
magnetization	0.0	μB per formula unit

abc: 3.3139 3.3139 9.1955
angles: 90.00 90.00 90.00
Element x y z (fractional)
Cd (0.0000, 0.0000, 0.0101)
Cd (0.5000, 0.5000, 0.2376)
In (0.5000, 0.5000, 0.7619)
Sn (0.0000, 0.0000, 0.4904)



# 4
This record from Alexandria describes crystalline CeTh2Bi4 at its relaxed geometry. The functional is PBE-GGA.

space group	I-42d, No. 122
crystal system	tetragonal
theoretical density	10.6	g/cm3
formation energy	-0.66	eV/atom
calculated total energy	-5.84	eV/atom
magnetization	0.3	μB per formula unit

abc: 8.3561 8.3561 8.3561
angles: 109.60 109.22 109.60
Each line ends with the local moment (μB).
Element x y z (fractional)
Bi (0.6276, 0.7523, 0.0343)  -0.02
Ce (0.7500, 0.5000, 0.2500)  0.52
Th (0.4984, 0.3734, 0.6250)  -0.03
Bi (0.2820, 0.2477, 0.8752)  -0.02
Bi (0.4680, 0.0932, 0.2157)  -0.02
Bi (0.7843, 0.2523, 0.8776)  -0.02
Th (0.8750, 0.1266, 0.5016)  -0.03
Bi (0.1248, 0.4068, 0.3724)  -0.02
Bi (0.6252, 0.7477, 0.5320)  -0.02
Ce (0.0000, 0.0000, 0.0000)  0.52
Bi (0.9657, 0.5932, 0.7180)  -0.02
Bi (0.1224, 0.9068, 0.3748)  -0.02
Th (0.3750, 0.8734, 0.7484)  -0.03
Th (0.2516, 0.6266, 0.1250)  -0.03



# 5
This record from Alexandria describes crystalline Tb12Ag5Pb3 at its relaxed geometry. The functional is PBE-GGA.

space group	Ia-3d, No. 230
crystal system	cubic
theoretical density	7.5	g/cm3
formation energy	0.11	eV/atom
calculated total energy	-3.94	eV/atom
magnetization	0.0	μB per formula unit

abc: 15.2020 15.2020 15.2020
angles: 109.47 109.47 109.47
Element x y z (fractional)
Tb (0.6688, 0.4525, 0.5780)
Pb (0.3750, 0.7500, 0.6250)
Tb (0.4220, 0.0475, 0.3312)
Tb (0.2163, 0.5475, 0.6254)
Tb (0.0909, 0.1688, 0.2163)
Tb (0.3312, 0.7837, 0.4091)
Tb (0.0780, 0.9091, 0.1254)
Pb (0.1250, 0.8750, 0.7500)
Tb (0.4525, 0.6688, 0.0780)
Ag (0.8750, 0.6250, 0.7500)
Tb (0.8746, 0.5909, 0.9220)
Tb (0.1254, 0.4091, 0.0780)
Tb (0.1688, 0.0909, 0.7163)
Tb (0.5475, 0.3312, 0.9220)
Pb (0.2500, 0.1250, 0.3750)
Ag (0.2500, 0.3750, 0.6250)
Tb (0.4091, 0.2837, 0.3312)
Ag (0.2500, 0.8750, 0.1250)
Tb (0.7163, 0.1254, 0.0475)
Ag (0.6250, 0.7500, 0.8750)
Tb (0.4091, 0.1254, 0.5780)
Tb (0.4220, 0.3746, 0.5909)
Tb (0.9220, 0.8312, 0.5475)
Tb (0.0909, 0.9220, 0.3746)
Tb (0.9091, 0.8312, 0.7837)
Tb (0.4525, 0.7837, 0.8746)
Tb (0.2163, 0.6688, 0.0909)
Tb (0.6688, 0.2163, 0.5909)
Tb (0.0475, 0.6254, 0.7163)
Tb (0.1254, 0.7163, 0.5475)
Pb (0.6250, 0.2500, 0.3750)
Tb (0.5909, 0.7163, 0.6688)
Ag (0.0000, 0.5000, 0.0000)
Ag (0.5000, 0.5000, 0.5000)
Ag (0.5000, 0.5000, 0.0000)
Tb (0.2837, 0.8746, 0.9525)
Tb (0.7837, 0.3312, 0.9091)
Ag (0.0000, 0.0000, 0.5000)
Ag (0.3750, 0.1250, 0.7500)
Tb (0.3746, 0.9525, 0.7837)
Ag (0.7500, 0.1250, 0.8750)
Pb (0.7500, 0.3750, 0.1250)
Tb (0.5909, 0.8746, 0.4220)
Ag (0.8750, 0.2500, 0.6250)
Tb (0.3312, 0.5475, 0.4220)
Ag (0.5000, 0.0000, 0.5000)
Tb (0.7163, 0.5909, 0.1688)
Tb (0.9091, 0.0780, 0.6254)
Pb (0.8750, 0.7500, 0.1250)
Tb (0.1688, 0.0780, 0.9525)
Tb (0.5780, 0.9525, 0.6688)
Tb (0.8312, 0.9220, 0.0475)
Tb (0.2837, 0.4091, 0.8312)
Pb (0.2500, 0.6250, 0.8750)
Ag (0.0000, 0.0000, 0.0000)
Pb (0.3750, 0.6250, 0.2500)
Ag (0.1250, 0.7500, 0.3750)
Tb (0.5475, 0.2163, 0.1254)
Tb (0.7837, 0.4525, 0.3746)
Pb (0.7500, 0.8750, 0.6250)
Ag (0.3750, 0.2500, 0.1250)
Tb (0.0780, 0.1688, 0.4525)
Ag (0.0000, 0.5000, 0.5000)
Tb (0.9525, 0.3746, 0.2837)
Tb (0.9525, 0.5780, 0.1688)
Pb (0.1250, 0.2500, 0.8750)
Pb (0.8750, 0.1250, 0.2500)
Tb (0.8746, 0.2837, 0.4525)
Pb (0.6250, 0.3750, 0.7500)
Tb (0.6254, 0.0475, 0.2163)
Ag (0.7500, 0.6250, 0.3750)
Tb (0.3746, 0.4220, 0.0909)
Tb (0.0475, 0.4220, 0.8312)
Tb (0.5780, 0.6254, 0.4091)
Ag (0.1250, 0.3750, 0.2500)
Tb (0.9220, 0.0909, 0.8746)
Tb (0.8312, 0.9091, 0.2837)
Ag (0.6250, 0.8750, 0.2500)
Ag (0.5000, 0.0000, 0.0000)
Tb (0.6254, 0.5780, 0.9091)



# 6
This record from Alexandria describes crystalline Mg4ZrTl at its relaxed geometry. The functional is PBE-GGA.

space group	P4/mmm, No. 123
crystal system	tetragonal
excess energy over the best structure of this formula in the dataset	0.00	eV per formula unit
theoretical density	4.8	g/cm3
formation energy	-0.01	eV/atom
calculated total energy	-2.89	eV/atom
magnetization	0.0	μB per formula unit

abc: 3.5682 3.5682 10.6103
angles: 90.00 90.00 90.00
Element x y z (fractional)
Mg (0.0000, 0.0000, 0.6670)
Zr (0.5000, 0.5000, 0.5000)
Tl (0.0000, 0.0000, 0.0000)
Mg (0.5000, 0.5000, 0.1705)
Mg (0.5000, 0.5000, 0.8295)
Mg (0.0000, 0.0000, 0.3330)



# 7
This record from Alexandria describes crystalline Sc2SiHRh at its relaxed geometry. The functional is PBE-GGA.

space group	P4/mmm, No. 123
crystal system	tetragonal
theoretical density	5.2	g/cm3
calculated total energy	-6.47	eV/atom
magnetization	0.0	μB per formula unit

abc: 4.3943 4.3943 3.7014
angles: 90.00 90.00 90.00
Element x y z (fractional)
Si (0.5000, 0.5000, 0.5000)
Rh (0.0000, 0.0000, 0.5000)
H (0.0000, 0.0000, 0.0000)
Sc (0.0000, 0.5000, 0.0000)
Sc (0.5000, 0.0000, 0.0000)



# 8
This record from Alexandria describes crystalline AcNiH at its relaxed geometry. The functional is PBE-GGA.

space group	P2_1/m, No. 11
crystal system	monoclinic
excess energy over the best structure of this formula in the dataset	0.00	eV per formula unit
theoretical density	8.5	g/cm3
calculated total energy	-4.77	eV/atom
magnetization	0.0	μB per formula unit

abc: 4.0544 4.0287 7.1750
angles: 106.40 90.00 90.00
Element x y z (fractional)
Ac (0.7500, 0.1300, 0.2578)
H (0.7500, 0.3257, 0.6574)
H (0.2500, 0.6743, 0.3426)
Ac (0.2500, 0.8700, 0.7422)
Ni (0.2500, 0.5534, 0.1068)
Ni (0.7500, 0.4466, 0.8932)